[1]
A plane-wave DFT calculation with GGA-PBEsol was carried out for a geometry-optimized MgFeAg2 structure.

Symmetry: F-43m
E_tot, eV per atom: -4.0806
ρ, g/cm³: 7.76

Lattice parameters (Å, degrees): 4.475 4.475 4.475 60.00 60.00 60.00
Site moments in Bohr magnetons follow the coordinates.
Fractional coordinates of all 4 atoms:
Ag: 0.000 0.000 0.000  -0.01
Fe: 0.500 0.500 0.500  2.83
Mg: 0.250 0.250 0.250  -0.02
Ag: 0.750 0.750 0.750  0.02

[2]
A plane-wave DFT calculation with GGA-PBEsol was carried out for a geometry-optimized MgFeAg2 structure.

Symmetry: Pmmm
E_tot, eV per atom: -4.1517
ρ, g/cm³: 7.75

Lattice parameters (Å, degrees): 2.884 3.756 5.852 90.00 90.00 90.00
Site moments in Bohr magnetons follow the coordinates.
Fractional coordinates of all 4 atoms:
Ag: 0.000 0.000 0.236  -0.01
Mg: 0.500 0.500 0.500  -0.01
Fe: 0.500 0.500 0.000  2.85
Ag: 0.000 0.000 0.764  -0.01

[3]
A plane-wave DFT calculation with GGA-PBEsol was carried out for a geometry-optimized Mn2FeAg structure.

Symmetry: I-4m2
E_tot, eV per atom: -7.5595
ρ, g/cm³: 8.86

Lattice parameters (Å, degrees): 3.686 3.686 4.587 113.69 113.69 90.00
Site moments in Bohr magnetons follow the coordinates.
Fractional coordinates of all 4 atoms:
Mn: 0.750 0.250 0.500  2.83
Fe: 0.250 0.750 0.500  2.09
Mn: 0.000 0.000 0.000  -2.99
Ag: 0.500 0.500 0.000  0.03

[4]
A plane-wave DFT calculation with GGA-PBEsol was carried out for a geometry-optimized MnFeAg structure.

Symmetry: I4mm
E_tot, eV per atom: -6.9519
ρ, g/cm³: 9.74

Lattice parameters (Å, degrees): 2.634 2.634 5.688 103.39 103.39 90.00
Site moments in Bohr magnetons follow the coordinates.
Fractional coordinates of all 3 atoms:
Ag: 0.001 0.001 0.001  0.00
Mn: 0.309 0.309 0.617  -0.28
Fe: 0.691 0.691 0.381  0.46

[5]
A plane-wave DFT calculation with GGA-PBEsol was carried out for a geometry-optimized Mn2Fe2Ag structure.

Symmetry: I4/mmm
E_tot, eV per atom: -7.6307
ρ, g/cm³: 8.94

Lattice parameters (Å, degrees): 3.654 3.654 5.262 110.31 110.31 90.00
Fractional coordinates of all 5 atoms:
Mn: 0.387 0.387 0.775
Fe: 0.750 0.250 0.500
Ag: 0.000 0.000 0.000
Fe: 0.250 0.750 0.500
Mn: 0.613 0.613 0.225

[6]
A plane-wave DFT calculation with GGA-PBEsol was carried out for a geometry-optimized RbMnFeAg2 structure.

Symmetry: P4/mmm
E_tot, eV per atom: -4.3498
ρ, g/cm³: 5.95

Lattice parameters (Å, degrees): 4.582 5.011 5.011 90.00 90.00 90.00
Site moments in Bohr magnetons follow the coordinates.
Fractional coordinates of all 5 atoms:
Ag: 0.000 0.000 0.500  0.03
Fe: 0.000 0.000 0.000  2.44
Mn: 0.500 0.000 0.000  3.69
Rb: 0.500 0.500 0.500  0.00
Ag: 0.000 0.500 0.000  0.03

[7]
A plane-wave DFT calculation with GGA-PBEsol was carried out for a geometry-optimized YMn2FeAg structure.

Symmetry: P4/mmm
E_tot, eV per atom: -6.2696
ρ, g/cm³: 4.99

Lattice parameters (Å, degrees): 4.783 4.783 5.269 90.00 90.00 90.00
Site moments in Bohr magnetons follow the coordinates.
Fractional coordinates of all 5 atoms:
Mn: 0.000 0.500 0.000  4.01
Fe: 0.500 0.500 0.500  3.11
Y: 0.000 0.000 0.500  -0.38
Mn: 0.500 0.000 0.000  4.01
Ag: 0.000 0.000 0.000  0.07

[8]
A plane-wave DFT calculation with GGA-PBEsol was carried out for a geometry-optimized FeAgMo2 structure.

Symmetry: P4/mmm
E_tot, eV per atom: -8.5333
ρ, g/cm³: 10.32

Lattice parameters (Å, degrees): 3.748 3.748 4.071 90.00 90.00 90.00
Site moments in Bohr magnetons follow the coordinates.
Fractional coordinates of all 4 atoms:
Ag: 0.500 0.500 0.500  -0.01
Mo: 0.500 0.000 0.000  -0.12
Fe: 0.000 0.000 0.500  2.06
Mo: 0.000 0.500 0.000  -0.12

[9]
A plane-wave DFT calculation with GGA-PBEsol was carried out for a geometry-optimized FeAgMo2 structure.

Symmetry: Cmmm
E_tot, eV per atom: -8.5200
ρ, g/cm³: 10.32

Lattice parameters (Å, degrees): 2.615 4.906 4.906 114.59 90.00 90.00
Site moments in Bohr magnetons follow the coordinates.
Fractional coordinates of all 4 atoms:
Mo: 0.000 0.000 0.500  -0.11
Mo: 0.000 0.500 0.000  -0.11
Fe: 0.500 0.500 0.500  1.89
Ag: 0.500 0.000 0.000  -0.01

[10]
A plane-wave DFT calculation with GGA-PBEsol was carried out for a geometry-optimized FeAgMo2 structure.

Symmetry: R-3m
E_tot, eV per atom: -8.5737
ρ, g/cm³: 10.31

Lattice parameters (Å, degrees): 2.696 2.696 9.233 81.61 81.61 60.00
Fractional coordinates of all 4 atoms:
Fe: 0.000 0.000 0.000
Ag: 0.500 0.500 0.500
Mo: 0.258 0.258 0.225
Mo: 0.742 0.742 0.775

[11]
A plane-wave DFT calculation with GGA-PBEsol was carried out for a geometry-optimized FeAgMo2 structure.

Symmetry: I4/mmm
E_tot, eV per atom: -8.5023
ρ, g/cm³: 10.34

Lattice parameters (Å, degrees): 3.756 3.756 4.841 112.83 112.83 90.00
Site moments in Bohr magnetons follow the coordinates.
Fractional coordinates of all 4 atoms:
Mo: 0.250 0.750 0.500  -0.12
Ag: 0.500 0.500 0.000  -0.01
Fe: 0.000 0.000 0.000  1.76
Mo: 0.750 0.250 0.500  -0.12

[12]
A plane-wave DFT calculation with GGA-PBEsol was carried out for a geometry-optimized FeAgMo2 structure.

Symmetry: Imm2
E_tot, eV per atom: -8.4239
ρ, g/cm³: 10.15

Lattice parameters (Å, degrees): 2.855 4.539 5.228 115.73 105.84 90.00
Site moments in Bohr magnetons follow the coordinates.
Fractional coordinates of all 4 atoms:
Fe: 0.733 0.233 0.466  1.46
Ag: 0.479 0.479 0.958  -0.01
Mo: 0.264 0.764 0.529  -0.08
Mo: 0.024 0.024 0.047  -0.14

no.,ΔE_f (meV per atom),volume (Å³/cell)
1,245,63
2,174,63
3,390,51
4,393,37
5,521,61
6,925,115
7,1454,121
8,419,57
9,433,57
10,379,57
11,450,57
12,529,58